DFT (PBEsol) results for Co2IrRh after structural relaxation.

The calculated volume comes out at 48.5 Å³ per cell. As for the total energy: -8.301 eV per atom. The value obtained for the energy above the most stable polymorph in this dataset is 26 meV per atom. The value obtained for the total magnetization is 2.68 μB/f.u. The energy of formation comes out at 0.23 eV/f.u.

The space group is Pmm2 (No. 25) and the conventional cell measures 2.616, 3.618 and 5.122 Å, with angles of 90.00, 90.00 and 90.00 degrees. The asymmetric unit holds Co at (0.000, 0.000, 0.000), Co at (0.500, 0.500, 0.235), Ir at (0.000, 0.000, 0.481) and Rh at (0.500, 0.500, 0.751).

DFT (PBEsol) results for CoIrRh2 after structural relaxation.

The calculated volume comes out at 104.1 Å³ per cell. As for the total energy: -8.414 eV per atom. The value obtained for the energy above the most stable polymorph in this dataset is 30 meV per atom. The value obtained for the total magnetization is 2.30 μB/f.u. The energy of formation comes out at 0.18 eV/f.u.

The space group is Cmmm (No. 65) and the conventional cell measures 5.263, 7.464 and 2.650 Å, with angles of 90.00, 90.00 and 90.00 degrees. The asymmetric unit holds Co at (0.000, 0.000, 0.000), Ir at (0.000, 0.500, 0.000) and Rh at (0.250, 0.250, 0.500).

DFT (PBEsol) results for CoIrRh2 after structural relaxation.

The calculated volume comes out at 51.6 Å³ per cell. As for the total energy: -8.431 eV per atom. The value obtained for the energy above the most stable polymorph in this dataset is 13 meV per atom. The value obtained for the total magnetization is 1.49 μB/f.u. The energy of formation comes out at 0.11 eV/f.u.

The space group is Pmm2 (No. 25) and the conventional cell measures 2.652, 3.680 and 5.282 Å, with angles of 90.00, 90.00 and 90.00 degrees. The asymmetric unit holds Co at (0.000, 0.000, 0.000), Ir at (0.500, 0.500, 0.240), Rh at (0.000, 0.000, 0.497) and Rh at (0.500, 0.500, 0.755).

DFT (PBEsol) results for CoIrRh2 after structural relaxation.

The calculated volume comes out at 102.7 Å³ per cell. As for the total energy: -8.444 eV per atom. The value obtained for the energy above the most stable polymorph in this dataset is 0 meV per atom. The value obtained for the total magnetization is 1.48 μB/f.u. The energy of formation comes out at 0.06 eV/f.u.

The space group is I4/mmm (No. 139) and the conventional cell measures 3.703, 3.703 and 7.487 Å, with angles of 90.00, 90.00 and 90.00 degrees. The asymmetric unit holds Co at (0.000, 0.000, 0.000), Ir at (0.000, 0.000, 0.500) and Rh at (0.000, 0.500, 0.250).

DFT (PBEsol) results for CoIrRh2 after structural relaxation.

The calculated volume comes out at 155.3 Å³ per cell. As for the total energy: -8.432 eV per atom. The value obtained for the energy above the most stable polymorph in this dataset is 13 meV per atom. The value obtained for the total magnetization is 1.71 μB/f.u. The energy of formation comes out at 0.11 eV/f.u.

The space group is R3m (No. 160, hexagonal axes) and the conventional cell measures 2.6532, 2.6532 and 25.4689 Å, with angles of 90.00, 90.00 and 120.00 degrees. The asymmetric unit holds Co at (0.0000, 0.0000, 0.0000), Ir at (0.0000, 0.0000, 0.2533), Rh at (0.0000, 0.0000, 0.4997) and Rh at (0.0000, 0.0000, 0.7463).

DFT (PBEsol) results for CoIr2Ru after structural relaxation.

The calculated volume comes out at 103.3 Å³ per cell. As for the total energy: -9.362 eV per atom. The value obtained for the total magnetization is 0.01 μB/f.u. The energy of formation comes out at 0.11 eV/f.u.

The space group is I-4m2 (No. 119) and the conventional cell measures 3.709, 3.709 and 7.507 Å, with angles of 90.00, 90.00 and 90.00 degrees. The asymmetric unit holds Co at (0.000, 0.000, 0.000), Ir at (0.000, 0.000, 0.500), Ir at (0.000, 0.500, 0.250) and Ru at (0.000, 0.500, 0.750).

DFT (PBEsol) results for CoIr2Ru after structural relaxation.

The calculated volume comes out at 51.9 Å³ per cell. As for the total energy: -9.387 eV per atom. The value obtained for the total magnetization is 1.08 μB/f.u. The energy of formation comes out at 0.01 eV/f.u.

The space group is Pmmm (No. 47) and the conventional cell measures 2.662, 3.693 and 5.278 Å, with angles of 90.00, 90.00 and 90.00 degrees. The asymmetric unit holds Co at (0.000, 0.000, 0.000), Ir at (0.500, 0.500, 0.243) and Ru at (0.000, 0.000, 0.500).

DFT (PBEsol) results for CoIr2Ru after structural relaxation.

The calculated volume comes out at 51.9 Å³ per cell. As for the total energy: -9.386 eV per atom. The value obtained for the total magnetization is 1.50 μB/f.u. The energy of formation comes out at 0.01 eV/f.u.

The space group is P4/mmm (No. 123) and the conventional cell measures 2.666, 2.666 and 7.298 Å, with angles of 90.00, 90.00 and 90.00 degrees. The asymmetric unit holds Co at (0.000, 0.000, 0.000), Ir at (0.500, 0.500, 0.241) and Ru at (0.000, 0.000, 0.500).

DFT (PBEsol) results for Co2IrRu after structural relaxation.

The calculated volume comes out at 95.7 Å³ per cell. As for the total energy: -8.801 eV per atom. The value obtained for the total magnetization is 1.76 μB/f.u. The energy of formation comes out at 0.27 eV/f.u.

The space group is Cm (No. 8) and the conventional cell measures 8.541, 2.604 and 4.377 Å, with angles of 90.00, 100.58 and 90.00 degrees. The asymmetric unit holds Co at (0.000, 0.000, 0.000), Co at (0.245, 0.500, 0.235), Ir at (0.249, 0.000, 0.745) and Ru at (0.496, 0.000, 0.484).

DFT (PBEsol) results for Co2IrRu after structural relaxation.

The calculated volume comes out at 95.4 Å³ per cell. As for the total energy: -8.827 eV per atom. The value obtained for the total magnetization is 1.73 μB/f.u. The energy of formation comes out at 0.16 eV/f.u.

The space group is I-4m2 (No. 119) and the conventional cell measures 3.595, 3.595 and 7.386 Å, with angles of 90.00, 90.00 and 90.00 degrees. The asymmetric unit holds Co at (0.000, 0.000, 0.000), Co at (0.000, 0.500, 0.250), Ir at (0.000, 0.000, 0.500) and Ru at (0.000, 0.500, 0.750).

DFT (PBEsol) results for Co2IrRu after structural relaxation.

The calculated volume comes out at 48.1 Å³ per cell. As for the total energy: -8.800 eV per atom. The value obtained for the total magnetization is 1.90 μB/f.u. The energy of formation comes out at 0.27 eV/f.u.

The space group is Pmm2 (No. 25) and the conventional cell measures 2.616, 3.614 and 5.083 Å, with angles of 90.00, 90.00 and 90.00 degrees. The asymmetric unit holds Co at (0.000, 0.000, 0.000), Co at (0.500, 0.500, 0.229), Ir at (0.000, 0.000, 0.486) and Ru at (0.500, 0.500, 0.750).

DFT (PBEsol) results for CoIr2Ru after structural relaxation.

The calculated volume comes out at 157.3 Å³ per cell. As for the total energy: -9.318 eV per atom. The value obtained for the total magnetization is 1.45 μB/f.u. The energy of formation comes out at 0.29 eV/f.u.

The space group is R3m (No. 160, hexagonal axes) and the conventional cell measures 2.6629, 2.6629 and 25.6114 Å, with angles of 90.00, 90.00 and 120.00 degrees. The asymmetric unit holds Co at (0.0000, 0.0000, 0.0000), Ir at (0.0000, 0.0000, 0.5021), Ir at (0.0000, 0.0000, 0.7468) and Ru at (0.0000, 0.0000, 0.2539).

The highest energy of formation belongs to which entry?
number 12

Among the records above, which one has the highest energy of formation?
number 12

What is the energy of formation in the ninth record?
0.27 eV/f.u.

Which of these has the highest energy of formation?
number 12